10
Lattice="4.170 0.000 0.000 0.000 4.170 0.000 0.000 0.000 12.199" Properties=species:S:1:pos:R:3 comment="Li2LaSiAg PBE relaxed" dft_energy_ev_per_atom=-3.722 spacegroup="I4mm (107)" pbc="T T T"
Li 0.000 2.085 0.000
Li 0.000 2.085 6.100
Li 2.085 0.000 0.000
Li 2.085 0.000 6.100
La 0.000 0.000 3.466
La 2.085 2.085 9.566
Si 0.000 0.000 10.597
Si 2.085 2.085 4.498
Ag 0.000 0.000 7.944
Ag 2.085 2.085 1.845